Computed, not measured: a geometry-optimized GdY2As structure at the PBE level of DFT.

Cell and atoms, written as extended XYZ:
```
4
Lattice="3.892 0.000 0.000 1.946 3.370 0.000 1.946 1.123 9.424" Properties=species:S:1:pos:R:3 pbc="T T T"
Gd 3.892 2.247 4.712
Y 5.838 3.370 7.700
Y 1.946 1.123 1.723
As 0.000 0.000 0.000
```

raw total energy	-8.543	eV per atom

---

Computed, not measured: a geometry-optimized Gd2YAs structure at the PBE level of DFT.

Cell and atoms, written as extended XYZ:
```
4
Lattice="-1.477 -2.133 -2.899 -0.317 -3.857 0.389 -9.304 -0.913 2.800" Properties=species:S:1:pos:R:3 pbc="T T T"
Gd -8.880 -5.108 0.451
Gd -2.218 -1.795 -0.160
As 0.000 0.000 0.000
Y -5.549 -3.452 0.145
```

raw total energy	-10.424	eV per atom

---

Computed, not measured: a geometry-optimized GdYAs2 structure at the PBE level of DFT.

Cell and atoms, written as extended XYZ:
```
4
Lattice="-1.231 -3.617 -1.615 2.814 -2.739 -1.337 0.715 -4.931 5.169" Properties=species:S:1:pos:R:3 pbc="T T T"
Gd 1.149 -5.643 1.108
Y 0.000 0.000 0.000
As 1.724 -8.469 1.673
As 0.574 -2.817 0.544
```

raw total energy	-9.009	eV per atom

---

Computed, not measured: a geometry-optimized Gd2ZnAs structure at the PBE level of DFT.

Cell and atoms, written as extended XYZ:
```
4
Lattice="4.078 0.000 0.000 2.039 3.531 0.000 2.039 1.177 7.299" Properties=species:S:1:pos:R:3 pbc="T T T"
As 0.000 0.000 0.000
Gd 6.117 3.531 5.623
Zn 4.078 2.354 3.649
Gd 2.039 1.177 1.676
```

polymorph energy (0 for the lowest one)	0.00	eV per formula unit
raw total energy	-9.316	eV per atom

---

Computed, not measured: a geometry-optimized Gd2ZnAs structure at the PBE level of DFT.

Cell and atoms, written as extended XYZ:
```
4
Lattice="3.743 0.000 0.000 0.000 3.743 0.000 0.000 0.000 6.626" Properties=species:S:1:pos:R:3 pbc="T T T"
As 1.871 1.871 0.000
Gd 0.000 0.000 5.028
Gd 0.000 0.000 1.598
Zn 1.871 1.871 3.313
```

polymorph energy (0 for the lowest one)	0.07	eV per formula unit
raw total energy	-9.298	eV per atom

---

Computed, not measured: a geometry-optimized GdZrAs2 structure at the PBE level of DFT.

Cell and atoms, written as extended XYZ:
```
4
Lattice="-2.712 2.500 1.512 -3.761 -1.216 0.520 -0.651 -1.624 6.773" Properties=species:S:1:pos:R:3 pbc="T T T"
Gd -3.562 -0.170 4.402
As -1.805 -0.053 2.104
As -5.319 -0.288 6.700
Zr 0.000 0.000 0.000
```

raw total energy	-9.317	eV per atom

---

Calculated values (eV per atom) of ΔE_f for the records, taken in order: -0.6284, -0.6048, -1.5484, -0.7943, -0.7764, -1.3346.